PaTiSnRh, optimized geometry, DFT PBE; energy of formation = -32.15 kJ/mol of atoms; energy = -7.519 eV/atom; symmetry = F-43m, No. 216; DOS(E_F) = 1.868 states/eV per atom; density = 10.7 g cm⁻³
1.0
0.0000 3.3898 3.3898
3.3898 0.0000 3.3898
3.3898 3.3898 0.0000
Pa Ti Sn Rh
1 1 1 1
Direct
0.0000 0.0000 0.0000
0.2500 0.2500 0.2500
0.5000 0.5000 0.5000
0.7500 0.7500 0.7500

=====

In2CuMo2, optimized geometry, DFT PBE; energy of formation = 43.39 kJ/mol of atoms; energy = -5.797 eV/atom; symmetry = P4/mbm, No. 127; energy relative to the lowest polymorph listed for this composition = 0 meV per atom; DOS(E_F) = 0.737 states/eV per atom; density = 8.5 g cm⁻³
1.0
6.5782 0.0000 0.0000
0.0000 6.5782 0.0000
0.0000 0.0000 4.3855
In Cu Mo
4 2 4
Direct
0.1755 0.3245 0.0000
0.3245 0.8245 0.0000
0.6755 0.1755 0.0000
0.8245 0.6755 0.0000
0.0000 0.0000 0.5000
0.5000 0.5000 0.5000
0.1282 0.6282 0.5000
0.3718 0.1282 0.5000
0.6282 0.8718 0.5000
0.8718 0.3718 0.5000

=====

LiTlO3, optimized geometry, DFT PBE; energy = -3.966 eV/atom; symmetry = Pm-3m, No. 221; DOS(E_F) = 0.717 states/eV per atom; formation energy without anion corrections = -0.136 eV per atom; density = 5.8 g cm⁻³
1.0
4.1954 0.0000 0.0000
0.0000 4.1954 0.0000
0.0000 0.0000 4.1954
Li Tl O
1 1 3
Direct
0.0000 0.0000 0.0000
0.5000 0.5000 0.5000
0.0000 0.5000 0.5000
0.5000 0.0000 0.5000
0.5000 0.5000 0.0000

=====

Ti2SnW, optimized geometry, DFT PBE; energy of formation = -23.31 kJ/mol of atoms; energy = -8.428 eV/atom; symmetry = P4/mmm, No. 123; DOS(E_F) = 0.571 states/eV per atom; density = 9.5 g cm⁻³
1.0
3.3652 0.0000 0.0000
0.0000 3.3652 0.0000
0.0000 0.0000 6.1465
Ti Sn W
2 1 1
Direct
0.0000 0.0000 0.2293
0.0000 0.0000 0.7707
0.5000 0.5000 0.5000
0.5000 0.5000 0.0000

=====

CaPbS2, optimized geometry, DFT PBE; energy = -4.309 eV/atom; symmetry = R-3m, No. 166; DOS(E_F) = 0.361 states/eV per atom; formation energy without anion corrections = -0.818 eV per atom; density = 4.2 g cm⁻³
1.0
2.1044 1.2150 8.1054
-2.1044 1.2150 8.1054
0.0000 -2.4299 8.1054
Ca Pb S
1 1 2
Direct
0.0000 0.0000 0.0000
0.5000 0.5000 0.5000
0.3914 0.3914 0.3914
0.6086 0.6086 0.6086

=====

Ca2BeSiPt6, optimized geometry, DFT PBE; energy = -5.552 eV/atom; symmetry = I4/mmm, No. 139; DOS(E_F) = 0.711 states/eV per atom; formation energy without anion corrections = -0.612 eV per atom; density = 11.8 g cm⁻³
1.0
-3.1724 3.1724 4.4931
3.1724 -3.1724 4.4931
3.1724 3.1724 -4.4931
Ca Be Si Pt
2 1 1 6
Direct
0.2500 0.7500 0.5000
0.7500 0.2500 0.5000
0.0000 0.0000 0.0000
0.5000 0.5000 0.0000
0.2418 0.2418 0.0000
0.2419 0.2419 0.4838
0.2419 0.7581 0.0000
0.7581 0.2419 0.0000
0.7582 0.7582 0.0000
0.7581 0.7581 0.5162

=====

AsP2SCl, optimized geometry, DFT PBE; energy = -3.302 eV/atom; symmetry = P4/mmm, No. 123; energy relative to the lowest polymorph listed for this composition = 67 meV per atom; DOS(E_F) = 0.909 states/eV per atom; formation energy without anion corrections = 0.987 eV per atom; density = 3.1 g cm⁻³
1.0
4.8827 0.0000 0.0000
0.0000 4.8827 0.0000
0.0000 0.0000 4.6581
As P S Cl
1 2 1 1
Direct
0.0000 0.0000 0.0000
0.0000 0.5000 0.0000
0.5000 0.0000 0.0000
0.0000 0.0000 0.5000
0.5000 0.5000 0.5000

=====

TcAgTe, optimized geometry, DFT PBE; energy = -5.038 eV/atom; symmetry = P3m1, No. 156; energy relative to the lowest polymorph listed for this composition = 66 meV per atom; DOS(E_F) = 0.763 states/eV per atom; formation energy without anion corrections = 0.415 eV per atom; density = 8.7 g cm⁻³
1.0
3.2204 0.0000 0.0000
-1.6102 2.7889 0.0000
0.0000 0.0000 7.0810
Tc Ag Te
1 1 1
Direct
0.0000 0.0000 0.0000
0.6667 0.3333 0.6839
0.3333 0.6667 0.2575

=====

The lowest density belongs to which entry?
AsP2SCl